Computed, not measured: Li2CaS2 at its PBEsol-relaxed geometry at the SCAN level of DFT.

Lattice parameters (Å, degrees): 7.2481 7.2481 3.5805 90.00 90.00 90.00
Space group P4/mbm (No. 127)
Asymmetric unit:
Li  0.1281  0.3719  0.0000 [4 per cell]
Ca  0.0000  0.0000  0.5000 [2 per cell]
S  0.1757  0.6757  0.5000 [4 per cell]

Summary:
Its total energy is -0.298 Ha/atom. As for the uncorrected formation energy: -1.38 eV per atom.

=====

Computed, not measured: LiCa2S2 at its PBEsol-relaxed geometry at the SCAN level of DFT.

Lattice parameters (Å, degrees): 7.3684 7.3684 3.7534 90.00 90.00 90.00
Space group P4/mbm (No. 127)
Asymmetric unit:
Li  0.0000  0.0000  0.0000 [2 per cell]
Ca  0.1526  0.3474  0.5000 [4 per cell]
S  0.1582  0.6582  0.0000 [4 per cell]

Summary:
Its total energy is -0.365 Ha/atom. As for the uncorrected formation energy: -1.73 eV per atom.

=====

Computed, not measured: Li2CaSb at its PBEsol-relaxed geometry at the SCAN level of DFT.

Lattice parameters (Å, degrees): 3.5206 4.2223 6.4226 90.00 90.00 90.00
Space group Pmmm (No. 47)
Asymmetric unit:
Li  0.0000  0.0000  0.2001 [2 per cell]
Ca  0.5000  0.5000  0.5000 [1 per cell]
Sb  0.5000  0.5000  0.0000 [1 per cell]

Summary:
Its total energy is -0.489 Ha/atom. As for the uncorrected formation energy: -0.37 eV per atom.

=====

Computed, not measured: LiCa2Sb at its PBEsol-relaxed geometry at the SCAN level of DFT.

Lattice parameters (Å, degrees): 4.5884 4.5884 10.4408 90.00 90.00 90.00
Space group I-4m2 (No. 119)
Asymmetric unit:
Li  0.0000  0.0000  0.0000 [2 per cell]
Ca  0.0000  0.0000  0.5000 [2 per cell]
Ca  0.0000  0.5000  0.7500 [2 per cell]
Sb  0.0000  0.5000  0.2500 [2 per cell]

Summary:
Its total energy is -0.558 Ha/atom. As for the uncorrected formation energy: -0.45 eV per atom.

=====

Computed, not measured: LiCa2Sb at its PBEsol-relaxed geometry at the SCAN level of DFT.

Lattice parameters (Å, degrees): 4.5441 4.3736 11.5523 90.00 90.00 90.00
Space group Amm2 (No. 38)
Asymmetric unit:
Li  0.0000  0.0000  0.0000 [2 per cell]
Ca  0.0000  0.0000  0.7007 [2 per cell]
Ca  0.5000  0.0000  0.4160 [2 per cell]
Sb  0.5000  0.0000  0.1325 [2 per cell]

Summary:
Its total energy is -0.567 Ha/atom. As for the uncorrected formation energy: -0.68 eV per atom.

=====

Computed, not measured: LiCaSb4 at its PBEsol-relaxed geometry at the SCAN level of DFT.

Lattice parameters (Å, degrees): 8.8543 8.8543 8.8543 90.00 90.00 90.00
Space group F-43m (No. 216)
Asymmetric unit:
Li  0.0000  0.0000  0.0000 [4 per cell]
Ca  0.2500  0.2500  0.2500 [4 per cell]
Sb  0.1254  0.1254  0.6254 [16 per cell]

Summary:
Its total energy is -0.994 Ha/atom. As for the uncorrected formation energy: -0.20 eV per atom.